TaTi3Ir3 (PBE-GGA, optimized geometry); crystal system = orthorhombic; volume = 16.66 Å³ per atom; energy of formation = -3.51 eV per formula unit; total energy = -9.3755 eV per atom; N(E_F) = 6.4 states/eV/f.u.
1.0
4.416 -4.505 0.000
4.416 4.505 0.000
0.000 0.000 5.862
Ta Ti Ir
2 6 6
Direct
0.228 0.228 0.000 Ta
0.772 0.772 0.000 Ta
0.237 0.763 0.500 Ti
0.238 0.238 0.500 Ti
0.245 0.755 0.000 Ti
0.755 0.245 0.000 Ti
0.762 0.762 0.500 Ti
0.763 0.237 0.500 Ti
0.000 0.500 0.252 Ir
0.000 0.500 0.748 Ir
0.500 0.000 0.252 Ir
0.500 0.000 0.748 Ir
0.500 0.500 0.251 Ir
0.500 0.500 0.749 Ir

Ta2TiIr (PBE-GGA, optimized geometry); crystal system = tetragonal; volume = 16.54 Å³ per atom; energy of formation = -1.39 eV per formula unit; total energy = -10.4634 eV per atom; N(E_F) = 2.4 states/eV/f.u.
1.0
4.506 0.000 0.000
0.000 4.506 0.000
0.000 0.000 3.260
Ta Ti Ir
2 1 1
Direct
0.000 0.500 0.000 Ta
0.500 0.000 0.000 Ta
0.000 0.000 0.500 Ti
0.500 0.500 0.500 Ir

Ta2Ti4Ir (PBE-GGA, optimized geometry); crystal system = tetragonal; volume = 20.96 Å³ per atom; energy of formation = 5.29 eV per formula unit; total energy = -8.4077 eV per atom; N(E_F) = 11.7 states/eV/f.u.
1.0
-2.390 2.390 6.421
2.390 -2.390 6.421
2.390 2.390 -6.421
Ta Ti Ir
2 4 1
Direct
0.108 0.108 0.000 Ta
0.892 0.892 0.000 Ta
0.000 0.500 0.500 Ti
0.309 0.309 0.000 Ti
0.500 0.000 0.500 Ti
0.691 0.691 0.000 Ti
0.500 0.500 0.000 Ir

Question: The lowest total energy belongs to which entry?
Answer: Ta2TiIr

What did the first record say?
TaTi3Ir3 (PBE-GGA, optimized geometry); crystal system = orthorhombic; volume = 16.66 Å³ per atom; energy of formation = -3.51 eV per formula unit; total energy = -9.3755 eV per atom; N(E_F) = 6.4 states/eV/f.u.
1.0
4.416 -4.505 0.000
4.416 4.505 0.000
0.000 0.000 5.862
Ta Ti Ir
2 6 6
Direct
0.228 0.228 0.000 Ta
0.772 0.772 0.000 Ta
0.237 0.763 0.500 Ti
0.238 0.238 0.500 Ti
0.245 0.755 0.000 Ti
0.755 0.245 0.000 Ti
0.762 0.762 0.500 Ti
0.763 0.237 0.500 Ti
0.000 0.500 0.252 Ir
0.000 0.500 0.748 Ir
0.500 0.000 0.252 Ir
0.500 0.000 0.748 Ir
0.500 0.500 0.251 Ir
0.500 0.500 0.749 Ir

Question: Look up the total energy of the first one.
Answer: -9.3755 eV per atom